Below is a relaxed structure of YAl2Si, with properties calculated at the PBE level.

```
YAl2Si
1.0
-8.495 1.068 -3.245
-9.146 0.409 -0.143
-8.424 3.435 -1.039
Si Al Y
1 2 1
Direct
0.509 0.509 0.509 Si
0.991 0.991 0.991 Al
0.246 0.246 0.246 Al
0.754 0.754 0.754 Y
```

Computed properties:
Crystal system = trigonal
VASP energy = -4.814 eV per atom